--- one ---
KSr2Sn2 after structural relaxation. Source: the Alexandria database, functional PBE.

a b c (Å): 6.0131 6.0131 12.8526
angles (deg): 90.00 90.00 90.00
Space group I4/mmm (No. 139)
Inequivalent atoms, fractional coordinates:
K 0.0000 0.0000 0.0000 [2 per cell]
Sr 0.0000 0.0000 0.3446 [4 per cell]
Sn 0.0000 0.5000 0.2500 [4 per cell]

V (Å³ per atom): 46.47
Spin magnetization (μB/atom): 0.00
N(E_F) (states/eV/cell): 9.28

--- two ---
KSr2Sn2 after structural relaxation. Source: the Alexandria database, functional PBE.

a b c (Å): 9.1751 9.1751 4.4965
angles (deg): 90.00 90.00 90.00
Space group P4/mbm (No. 127)
Inequivalent atoms, fractional coordinates:
K 0.0000 0.0000 0.0000 [2 per cell]
Sr 0.1719 0.3281 0.5000 [4 per cell]
Sn 0.1161 0.6161 0.0000 [4 per cell]

V (Å³ per atom): 37.85
Spin magnetization (μB/atom): 0.00
N(E_F) (states/eV/cell): 4.41

Structures ranked by computed energy, the most stable listed first: two, one.

--- one ---
KSrSn4 after structural relaxation. Source: the Alexandria database, functional PBE.

a b c (Å): 9.1087 9.1087 9.1087
angles (deg): 90.00 90.00 90.00
Space group F-43m (No. 216)
Inequivalent atoms, fractional coordinates:
K 0.0000 0.0000 0.0000 [4 per cell]
Sr 0.2500 0.2500 0.2500 [4 per cell]
Sn 0.1247 0.1247 0.6247 [16 per cell]

V (Å³ per atom): 31.49
Spin magnetization (μB/atom): 0.00
N(E_F) (states/eV/cell): 41.46

--- two ---
KSrSn4 after structural relaxation. Source: the Alexandria database, functional PBE.

a b c (Å): 7.8105 4.5124 12.7365
angles (deg): 90.00 101.69 90.00
Space group C2/m (No. 12)
Inequivalent atoms, fractional coordinates:
K 0.0000 0.0000 0.0000 [2 per cell]
Sr 0.0000 0.5000 0.5000 [2 per cell]
Sn 0.0966 0.5000 0.7917 [4 per cell]
Sn 0.1061 0.0000 0.3176 [4 per cell]

V (Å³ per atom): 36.63
Spin magnetization (μB/atom): 0.00
N(E_F) (states/eV/cell): 4.61

Structures ranked by computed energy, the most stable listed first: two, one.